1.
# InNiH2N

A relaxed InNiH2N crystal (PBE, the Alexandria database).

- Uncorrected energy: -4.369 eV/atom
- ρ: 6.9 g/cm³
- Symmetry: P4/mmm
- Density of states at the Fermi level: 1.48 states/eV per cell

Unit cell a=3.2644 b=3.2644 c=4.2648 alpha=90.00 beta=90.00 gamma=90.00
With the nearest neighbours (Å) after each atom.
Fractional coordinates of all 5 atoms:
In: 0.5000 0.5000 0.5000  4 N 2.31
H: 0.0000 0.5000 0.0000  2 Ni 1.63
H: 0.5000 0.0000 0.0000  2 Ni 1.63
N: 0.0000 0.0000 0.5000  2 Ni 2.13, 4 In 2.31
Ni: 0.0000 0.0000 0.0000  4 H 1.63


2.
# MgRuN

A relaxed MgRuN crystal (PBE, the Alexandria database).

- Uncorrected energy: -6.143 eV/atom
- ρ: 5.1 g/cm³
- Symmetry: Cmcm
- Density of states at the Fermi level: 2.25 states/eV per cell
- Polymorph energy (0 for the lowest one): 0.0000 eV/atom
- ΔE_f (raw): 255.6 meV per atom

Unit cell a=4.7693 b=4.7693 c=4.1390 alpha=90.00 beta=90.00 gamma=103.76
With the nearest neighbours (Å) after each atom.
Fractional coordinates of all 6 atoms:
Ru: 0.5913 0.4087 0.2500  1 N 1.79
Ru: 0.4087 0.5913 0.7500  1 N 1.79
Mg: 0.1298 0.8702 0.2500  3 N 2.09-2.25
Mg: 0.8702 0.1298 0.7500  3 N 2.09-2.25
N: 0.1703 0.8297 0.7500  1 Ru 1.79
N: 0.8297 0.1703 0.2500  1 Ru 1.79